Below is a geometry-optimized KTl4Cd2In structure, with properties calculated at the PBE-GGA level.

Calculated values
Energy of formation, meV per atom: -22

Cell: 5.3480 5.3480 30.2036 Å, 90.00 90.00 120.00°
Closest atoms and distances in Å follow each position.
Space group R-3m (No. 166, hexagonal axes)
Symmetry-distinct sites (fractional):
K 0.0000 0.0000 0.0000  8 Tl 3.62-3.88
Tl 0.0000 0.0000 0.1284  3 In 3.30, 4 Cd 3.30-3.49, 3 Tl 3.67
Tl 0.0000 0.0000 0.3961  1 In 3.14, 3 Cd 3.19
Cd 0.0000 0.0000 0.2439  7 Tl 3.19-3.49
In 0.0000 0.0000 0.5000  8 Tl 3.14-3.30

---

Below is a geometry-optimized Nb2SiOsO structure, with properties calculated at the PBE-GGA level.

Calculated values
Uncorrected formation energy, meV per atom: 1143.3

Cell: 4.9130 4.9130 4.4314 Å, 90.00 90.00 90.00°
Closest atoms and distances in Å follow each position.
Space group P4/mmm (No. 123)
Symmetry-distinct sites (fractional):
Nb 0.0000 0.5000 0.0000  2 Os 2.46
Si 0.0000 0.0000 0.5000  2 Os 2.22
Os 0.0000 0.0000 0.0000  2 Si 2.22, 4 Nb 2.46
O 0.5000 0.5000 0.5000  8 Nb 3.31, 4 Si 3.47

---

How do the records compare in N(E_F)? In the order shown, they have 12.04; 5.45 states/eV per cell.
How do the records compare in theoretical density? In the order shown, they have 7.966; 6.522 g/cm3.
How do the records compare in total magnetization? In the order shown, they have 0.00; 0.20 μB per atom.